No. 1
Computed, not measured: a relaxed structure of ThZr2Rh at the PBE level of DFT.

The structure in POSCAR format:
```
ThZr2Rh
1.0
3.392 0.000 0.000
0.000 3.392 0.000
0.000 0.000 7.840
Rh Zr Th
1 2 1
Cartesian
1.696 1.696 0.000 Rh
0.000 0.000 6.257 Zr
0.000 0.000 1.584 Zr
1.696 1.696 3.920 Th
```

## Properties
* calculated formation energy: -0.34 eV/atom

No. 2
Computed, not measured: a relaxed structure of YHg2Rh at the PBE level of DFT.

The structure in POSCAR format:
```
YHg2Rh
1.0
4.821 0.000 0.000
0.000 3.343 0.001
0.000 1.554 5.365
Hg Rh Y
2 1 1
Cartesian
0.000 0.404 0.116 Hg
0.000 2.044 2.568 Hg
2.410 1.224 1.342 Rh
2.410 3.673 4.025 Y
```

## Properties
* calculated formation energy: -0.25 eV/atom

No. 3
Computed, not measured: a relaxed structure of Tl2VAg at the PBE level of DFT.

The structure in POSCAR format:
```
Tl2VAg
1.0
-0.339 -4.323 0.725
3.616 -0.686 -2.405
7.281 -1.570 7.375
Tl Ag V
4 2 2
Cartesian
2.063 -3.156 1.992 Tl
4.036 -1.386 0.435 Tl
6.710 -3.060 4.887 Tl
8.308 -5.557 4.074 Tl
0.000 0.000 0.000 Ag
4.291 -4.199 3.629 Ag
1.639 -2.505 -0.840 V
6.268 -2.381 2.064 V
```

## Properties
* calculated formation energy: 0.63 eV/atom

No. 4
Computed, not measured: a relaxed structure of Ti3Al4Zn2 at the PBE level of DFT.

The structure in POSCAR format:
```
Ti3Al4Zn2
1.0
-2.522 -1.190 3.278
1.499 -3.926 -3.098
5.411 2.831 5.192
Ti Al Zn
3 4 2
Cartesian
2.434 -0.191 4.629 Ti
0.000 0.000 0.000 Ti
1.953 -2.094 0.743 Ti
-0.842 -2.415 1.301 Al
5.230 0.130 4.071 Al
2.251 -2.848 3.524 Al
2.136 0.563 1.848 Al
0.308 -0.814 2.767 Zn
4.079 -1.471 2.605 Zn
```

## Properties
* calculated formation energy: -0.32 eV/atom

No. 5
Computed, not measured: a relaxed structure of K2TaCu at the PBE level of DFT.

The structure in POSCAR format:
```
K2TaCu
1.0
2.928 0.000 0.000
0.000 5.308 0.000
0.000 0.000 6.156
Cu K Ta
1 2 1
Cartesian
0.000 2.654 3.078 Cu
0.000 0.000 0.000 K
1.464 2.654 0.000 K
1.464 0.000 3.078 Ta
```

## Properties
* calculated formation energy: 1.28 eV/atom

No. 6
Computed, not measured: a relaxed structure of LiThSN at the PBE level of DFT.

The structure in POSCAR format:
```
LiThSN
1.0
4.015 0.000 0.000
0.000 4.015 0.000
0.000 0.000 8.789
Li Th S N
2 2 2 2
Cartesian
0.000 0.000 4.394 Li
2.008 2.008 4.394 Li
0.000 2.008 7.607 Th
2.008 0.000 1.182 Th
2.008 0.000 5.817 S
0.000 2.008 2.971 S
2.008 2.008 0.000 N
0.000 0.000 0.000 N
```

## Properties
* E_form (uncorrected): -1.71 eV per atom

No. 7
Computed, not measured: a relaxed structure of Ac3Tl3GeO8 at the PBE level of DFT.

The structure in POSCAR format:
```
Ac3Tl3GeO8
1.0
-1.869 5.606 4.430
-5.090 -4.942 -2.050
5.441 -2.203 5.083
Ac Tl Ge O
3 3 1 8
Cartesian
1.786 1.702 4.756 Ac
-0.759 -0.769 3.731 Ac
0.175 -3.572 1.516 Ac
0.000 0.000 0.000 Tl
-2.545 -2.471 -1.025 Tl
-3.480 0.332 1.190 Tl
2.720 -1.101 2.541 Ge
-1.556 -1.868 1.708 O
0.037 0.330 5.755 O
-2.837 0.736 4.029 O
1.318 -2.274 3.434 O
0.180 3.665 5.242 O
-1.699 -5.204 2.221 O
1.288 0.344 2.617 O
-2.806 -1.882 4.846 O
```

## Properties
* E_form (uncorrected): -1.96 eV per atom

No. 8
Computed, not measured: a relaxed structure of La2InPt9 at the PBE level of DFT.

The structure in POSCAR format:
```
La2InPt9
1.0
-0.241 4.004 3.710
-4.385 0.476 3.225
2.336 -3.895 8.379
La In Pt
2 1 9
Cartesian
-3.042 2.279 9.415 La
0.751 -1.693 5.900 La
0.000 0.000 0.000 In
-0.760 -0.891 12.984 Pt
-1.530 1.477 2.331 Pt
-1.145 0.293 7.657 Pt
-1.325 0.870 4.990 Pt
-1.446 2.893 6.864 Pt
-3.540 1.110 6.619 Pt
-0.966 -0.285 10.325 Pt
1.250 -0.525 8.696 Pt
-0.844 -2.307 8.451 Pt
```

## Properties
* calculated formation energy: -0.68 eV/atom

No. 9
Computed, not measured: a relaxed structure of Pr2HoSi3Pt12 at the PBE level of DFT.

The structure in POSCAR format:
```
Pr2HoSi3Pt12
1.0
-5.816 -5.041 0.899
1.489 -5.852 4.857
-3.649 0.427 6.822
Pr Ho Si Pt
2 1 3 12
Cartesian
-4.786 -6.279 7.546 Pr
-3.191 -4.187 5.032 Pr
0.000 0.000 0.000 Ho
-2.908 -2.520 0.449 Si
0.744 -2.926 2.428 Si
-1.825 0.213 3.411 Si
-4.793 -3.410 8.146 Pt
-5.163 -9.164 7.651 Pt
-4.170 -6.658 10.366 Pt
-5.988 -6.428 4.877 Pt
-7.518 -6.286 8.552 Pt
-1.957 -6.875 7.062 Pt
-3.184 -7.056 4.431 Pt
-2.814 -1.301 4.926 Pt
-3.807 -3.808 2.211 Pt
-1.988 -4.038 7.700 Pt
-0.459 -4.179 4.025 Pt
-6.020 -3.591 5.516 Pt
```

## Properties
* E_form (uncorrected): -0.55 eV per atom

No. 10
Computed, not measured: a relaxed structure of Re2Au at the PBE level of DFT.

The structure in POSCAR format:
```
Re2Au
1.0
6.197 0.000 0.000
0.000 6.197 0.000
0.000 0.000 6.197
Re Au
8 4
Cartesian
0.650 3.749 5.546 Re
0.650 5.546 2.448 Re
2.448 0.650 5.546 Re
2.448 2.448 2.448 Re
3.749 3.749 3.749 Re
3.749 5.546 0.650 Re
5.546 0.650 3.749 Re
5.546 2.448 0.650 Re
0.000 0.000 0.000 Au
0.000 3.098 3.098 Au
3.098 0.000 3.098 Au
3.098 3.098 0.000 Au
```

## Properties
* calculated formation energy: 1.56 eV/atom

No. 11
Computed, not measured: a relaxed structure of Pa3Ga4Au2 at the PBE level of DFT.

The structure in POSCAR format:
```
Pa3Ga4Au2
1.0
-3.624 -1.415 2.681
-0.301 -1.633 -5.431
5.542 -4.275 5.234
Pa Ga Au
3 4 2
Cartesian
1.206 -4.358 3.493 Pa
0.000 0.000 0.000 Pa
0.412 -2.965 -1.009 Pa
-2.443 -2.005 -0.198 Ga
4.061 -5.319 2.682 Ga
-0.315 -5.395 0.889 Ga
1.933 -1.928 1.595 Ga
-0.724 -2.473 1.878 Au
2.342 -4.850 0.606 Au
```

## Properties
* calculated formation energy: -0.38 eV/atom

No. 12
Computed, not measured: a relaxed structure of La2PrTl2Ag2 at the PBE level of DFT.

The structure in POSCAR format:
```
La2PrTl2Ag2
1.0
-0.718 1.376 -4.689
-3.387 -2.305 -2.759
-7.653 5.671 0.234
La Pr Tl Ag
2 1 2 2
Cartesian
-5.076 3.219 -0.880 La
-6.681 1.523 -6.335 La
0.000 0.000 0.000 Pr
-9.143 3.866 -5.270 Tl
-2.614 0.876 -1.944 Tl
-4.277 0.846 -4.300 Ag
-7.481 3.896 -2.915 Ag
```

## Properties
* calculated formation energy: -0.23 eV/atom